# 1
Ag2Hg2As after structural relaxation. Source: Alexandria via LeMat-Bulk, functional PBE.

The polymorph energy (0 for the lowest one) is 29 meV/atom.

The structure belongs to space group I4/mmm (No. 139); the cell edges are 3.877, 3.877 and 14.747 Å and the angles 90.00°, 90.00° and 90.00°. Symmetry generates all atoms from Ag at (0.000, 0.500, 0.250), Hg at (0.000, 0.000, 0.100) and As at (0.000, 0.000, 0.500).

=====

# 2
Er6Pt2C after structural relaxation. Source: Alexandria via LeMat-Bulk, functional PBE.

As for the electronic total energy: -6.164 eV/atom.

The structure belongs to space group P2_1/c (No. 14); the cell edges are 6.517, 7.011 and 11.306 Å and the angles 90.00°, 123.82° and 90.00°. Symmetry generates all atoms from Er at (0.132, 0.034, 0.244), Er at (0.237, 0.701, 0.057), Er at (0.360, 0.181, 0.055), Pt at (0.288, 0.088, 0.754) and C at (0.000, 0.000, 0.000).

=====

# 3
MnAl2V after structural relaxation. Source: Alexandria via LeMat-Bulk, functional PBE.

As for the electronic total energy: -6.503 eV/atom.

The structure belongs to space group R-3m (No. 166, hexagonal axes); the cell edges are 2.7291, 2.7291 and 26.0809 Å and the angles 90.00°, 90.00° and 120.00°. Symmetry generates all atoms from Mn at (0.0000, 0.0000, 0.0000), Al at (0.0000, 0.0000, 0.2528) and V at (0.0000, 0.0000, 0.5000).

=====

# 4
K2YCr after structural relaxation. Source: Alexandria via LeMat-Bulk, functional PBE.

The polymorph energy (0 for the lowest one) is 110 meV/atom.

The structure belongs to space group Cm (No. 8); the cell edges are 6.804, 3.780 and 12.800 Å and the angles 90.00°, 98.17° and 90.00°. Symmetry generates all atoms from K at (0.000, 0.000, 0.000), K at (0.224, 0.000, 0.671), Y at (0.459, 0.000, 0.387) and Cr at (0.240, 0.500, 0.227).

=====

# 5
SrTa3P after structural relaxation. Source: Alexandria via LeMat-Bulk, functional PBE.

The polymorph energy (0 for the lowest one) is 2617 meV/atom.

The structure belongs to space group Pm-3m (No. 221); the cell edges are 4.883, 4.883 and 4.883 Å and the angles 90.00°, 90.00° and 90.00°. Symmetry generates all atoms from Sr at (0.000, 0.000, 0.000), Ta at (0.000, 0.000, 0.500) and P at (0.500, 0.500, 0.500).

=====

# 6
CuIr2Se after structural relaxation. Source: Alexandria via LeMat-Bulk, functional PBE.

As for the uncorrected formation energy: 0.376 eV/atom.

The structure belongs to space group Pmm2 (No. 25); the cell edges are 2.883, 3.893 and 5.324 Å and the angles 90.00°, 90.00° and 90.00°. Symmetry generates all atoms from Cu at (0.000, 0.000, 0.000), Ir at (0.000, 0.000, 0.486), Ir at (0.500, 0.500, 0.195) and Se at (0.500, 0.500, 0.675).

=====

Values for total magnetization, μB/f.u., ordered as above
0.00; 0.00; 2.38; 4.14; 0.00; 0.00